Computed, not measured: a relaxed structure of Mg2Mn3O8 at the PBE+U level of DFT.

## Properties
**Magnetization**: 9.0 μB per formula unit
**Energy above the most stable polymorph in this dataset**: 5.0 kJ/mol of atoms

a = 6.436 Å, b = 6.436 Å, c = 8.466 Å
α = 90.00°, β = 90.00°, γ = 125.78°
Site moments in Bohr magnetons follow the coordinates.
Fractional positions:
O: 0.773 0.227 0.739  -0.10
O: 0.346 0.117 0.027  -0.04
O: 0.117 0.346 0.973  -0.04
O: 0.846 0.617 0.473  -0.04
Mn: 0.500 0.500 0.500  3.15
O: 0.273 0.727 0.761  -0.10
Mg: 0.356 0.644 0.104  0.01
Mn: 0.000 0.000 0.000  3.15
O: 0.500 0.500 0.265  -0.11
O: 0.500 0.500 0.735  -0.11
O: 0.227 0.773 0.261  -0.10
Mg: 0.856 0.144 0.396  0.01
Mn: 0.130 0.370 0.750  3.15
Mn: 0.630 0.870 0.750  3.15
O: 0.727 0.273 0.239  -0.10
O: 0.000 0.000 0.765  -0.11
Mg: 0.644 0.356 0.896  0.01
Mn: 0.870 0.630 0.250  3.15
Mg: 0.144 0.856 0.604  0.01
O: 0.000 0.000 0.235  -0.11
O: 0.617 0.846 0.527  -0.04
Mn: 0.370 0.130 0.250  3.15
O: 0.654 0.883 0.973  -0.04
O: 0.383 0.154 0.473  -0.04
O: 0.154 0.383 0.527  -0.04
O: 0.883 0.654 0.027  -0.04